VASP calculation (GGA-PBE) on crystalline HfMn2Fe2 at its relaxed geometry.

extended XYZ file:
```
5
Lattice="-1.8706 1.8706 4.7119 1.8706 -1.8706 4.7119 1.8706 1.8706 -4.7119" Properties=species:S:1:pos:R:3 pbc="T T T"
Hf 0.0000 0.0000 0.0000
Mn 1.8706 0.0000 2.3559
Mn 0.0000 1.8706 2.3559
Fe 0.0000 0.0000 3.6502
Fe 0.0000 0.0000 5.7735
```

Magnetization, μB per formula unit: 0.00
D(E_F), states/eV/cell: 5.44
Energy above the most stable polymorph in this dataset, meV per atom: 5
Energy, eV/f.u.: -45.2
Formation energy, eV per atom: 0.01
Theoretical density, g/cm³: 10.1